VASP calculation (GGA-PBE) on an optimized crystal structure of MgBiC3.

Computed properties:
Magnetic moment   0.00 Bohr magnetons per cell
Space-group type   Pm-3m, No. 221
Excess energy over the best structure of this formula in the dataset   0.0000 eV/atom
Calculated formation energy   2.656 eV per atom
Calculated total energy   -0.146 hartree per atom

a b c (Å): 4.194 4.194 4.194
angles (deg): 90.00 90.00 90.00
Element x y z (fractional)
1 Mg 0.000 0.000 0.000
2 Bi 0.500 0.500 0.500
3 C 0.000 0.500 0.000
4 C 0.000 0.000 0.500
5 C 0.500 0.000 0.000

VASP calculation (GGA-PBE) on an optimized crystal structure of MnRe2RuS.

Computed properties:
Energy relative to the elements, uncorrected   1.59 eV per atom
Magnetic moment   0.66 Bohr magnetons per cell
Space-group type   P4/mmm, No. 123
Calculated total energy   -0.290 hartree per atom

a b c (Å): 4.493 4.022 4.493
angles (deg): 90.00 90.00 90.00
Element x y z (fractional)
1 Re 0.500 0.000 0.000
2 Re 0.000 0.000 0.500
3 Ru 0.500 0.500 0.500
4 Mn 0.000 0.000 0.000
5 S 0.000 0.500 0.000

VASP calculation (GGA-PBE) on an optimized crystal structure of Pr2MnZn.

Computed properties:
Magnetic moment   3.25 Bohr magnetons per cell
Space-group type   Fm-3m, No. 225
Excess energy over the best structure of this formula in the dataset   0.0137 eV/atom
Calculated formation energy   0.024 eV per atom
Calculated total energy   -0.183 hartree per atom

a b c (Å): 5.240 5.240 5.240
angles (deg): 60.00 60.00 60.00
Element x y z (fractional)
1 Pr 0.250 0.250 0.250
2 Pr 0.750 0.750 0.750
3 Zn 0.500 0.500 0.500
4 Mn 0.000 0.000 0.000